1.
Material: SrSc2Sb
Method: DFT, GGA-PBE
State: relaxed

a = 4.6286 Å, b = 4.6286 Å, c = 11.5342 Å
α = 78.43°, β = 78.43°, γ = 90.00°
Each line ends with the local moment (μB).
Element x y z (fractional)
Sc  0.6627  0.1250  0.2500  0.34
Sc  0.0873  0.6250  0.2500  0.33
Sc  0.3750  0.3373  0.7500  0.29
Sc  0.8750  0.9127  0.7500  0.28
Sb  0.0000  0.0000  0.0000  -0.01
Sb  0.7500  0.2500  0.5000  -0.01
Sr  0.5000  0.5000  0.0000  0.03
Sr  0.2500  0.7500  0.5000  0.03

Values from the calculation:
raw formation energy	-0.052	eV per atom
E	-4.669	eV per atom
symmetry	I-42d
D(E_F)	1.30	states/eV per atom

=====

2.
Material: SrSc2Sb
Method: DFT, GGA-PBE
State: relaxed

a = 6.2080 Å, b = 6.2080 Å, c = 6.2080 Å
α = 136.43°, β = 136.43°, γ = 63.31°
Each line ends with the local moment (μB).
Element x y z (fractional)
Sb  0.7500  0.2500  0.5000  -0.01
Sc  0.0000  0.0000  0.0000  0.26
Sc  0.5000  0.5000  0.0000  0.26
Sr  0.2500  0.7500  0.5000  0.01

Values from the calculation:
raw formation energy	-0.210	eV per atom
E	-4.827	eV per atom
symmetry	I4/mmm
D(E_F)	1.02	states/eV per atom

=====

3.
Material: SrSc2Sb
Method: DFT, GGA-PBE
State: relaxed

a = 5.3321 Å, b = 5.3321 Å, c = 6.5672 Å
α = 76.65°, β = 76.65°, γ = 43.86°
Element x y z (fractional)
Sb  0.2627  0.2627  0.1633
Sc  0.9892  0.9892  0.0075
Sc  0.7315  0.7315  0.8465
Sr  0.5167  0.5167  0.4827

Values from the calculation:
raw formation energy	-0.216	eV per atom
E	-4.833	eV per atom
symmetry	Cm
D(E_F)	1.37	states/eV per atom

=====

4.
Material: Sr2ScSb2
Method: DFT, GGA-PBE
State: relaxed

a = 6.7673 Å, b = 7.6065 Å, c = 8.5456 Å
α = 116.43°, β = 113.33°, γ = 90.00°
Each line ends with the local moment (μB).
Element x y z (fractional)
Sr  0.8543  0.6811  0.7086  0.03
Sr  0.1457  0.3189  0.2914  0.03
Sr  0.6457  0.9725  0.2914  0.03
Sr  0.3543  0.0275  0.7086  0.03
Sc  0.7500  0.5000  0.0000  0.52
Sc  0.2500  0.5000  0.0000  0.52
Sb  0.3871  0.6201  0.7743  -0.02
Sb  0.6129  0.3799  0.2257  -0.02
Sb  0.1129  0.8459  0.2257  -0.02
Sb  0.8871  0.1541  0.7743  -0.02

Values from the calculation:
raw formation energy	-0.904	eV per atom
E	-4.492	eV per atom
symmetry	Ibam
D(E_F)	0.44	states/eV per atom

=====

5.
Material: SrSc2Sb
Method: DFT, GGA-PBE
State: relaxed

a = 10.6186 Å, b = 10.6186 Å, c = 10.6186 Å
α = 21.20°, β = 21.20°, γ = 21.20°
Element x y z (fractional)
Sc  0.8892  0.8892  0.8892
Sc  0.1108  0.1108  0.1108
Sb  0.5000  0.5000  0.5000
Sr  0.0000  0.0000  0.0000

Values from the calculation:
raw formation energy	-0.051	eV per atom
E	-4.668	eV per atom
symmetry	R-3m
D(E_F)	1.78	states/eV per atom

=====

6.
Material: SrSc2Sb
Method: DFT, GGA-PBE
State: relaxed

a = 4.7684 Å, b = 4.7689 Å, c = 4.7217 Å
α = 90.00°, β = 90.00°, γ = 90.00°
Each line ends with the local moment (μB).
Element x y z (fractional)
Sb  0.0000  0.5000  0.5000  -0.01
Sc  0.0000  0.0000  0.0000  0.37
Sc  0.5000  0.5000  0.0000  0.37
Sr  0.5000  0.0000  0.5000  0.04

Values from the calculation:
raw formation energy	-0.244	eV per atom
E	-4.861	eV per atom
symmetry	P4/mmm
D(E_F)	1.28	states/eV per atom

=====

7.
Material: SrScSb
Method: DFT, GGA-PBE
State: relaxed

a = 6.7480 Å, b = 6.7475 Å, c = 3.9364 Å
α = 73.05°, β = 73.03°, γ = 33.92°
Element x y z (fractional)
Sb  0.9633  0.9633  0.0367
Sc  0.3793  0.3793  0.6207
Sr  0.6574  0.6574  0.3426

Values from the calculation:
raw formation energy	-0.510	eV per atom
E	-4.555	eV per atom
symmetry	I4mm
D(E_F)	0.81	states/eV per atom

=====

8.
Material: SrSc2Sb
Method: DFT, GGA-PBE
State: relaxed

a = 6.0269 Å, b = 6.0269 Å, c = 3.3644 Å
α = 90.00°, β = 90.00°, γ = 112.84°
Element x y z (fractional)
Sb  0.0000  0.5000  0.5000
Sc  0.0000  0.0000  0.0000
Sc  0.5000  0.5000  0.0000
Sr  0.5000  0.0000  0.5000

Values from the calculation:
raw formation energy	0.009	eV per atom
E	-4.608	eV per atom
symmetry	Cmmm
D(E_F)	1.33	states/eV per atom

=====

9.
Material: SrScSb
Method: DFT, GGA-PBE
State: relaxed

a = 4.3337 Å, b = 4.3337 Å, c = 6.8333 Å
α = 90.00°, β = 90.00°, γ = 120.00°
Each line ends with the local moment (μB).
Element x y z (fractional)
Sb  0.0000  0.0000  0.0428  -0.01
Sc  0.6667  0.3333  0.2420  0.07
Sr  0.3333  0.6667  0.7153  -0.01

Values from the calculation:
raw formation energy	-0.445	eV per atom
E	-4.491	eV per atom
symmetry	P3m1
D(E_F)	0.55	states/eV per atom

=====

10.
Material: SrScSb
Method: DFT, GGA-PBE
State: relaxed

a = 8.4449 Å, b = 4.3346 Å, c = 12.2357 Å
α = 90.00°, β = 120.65°, γ = 90.00°
Each line ends with the local moment (μB).
Element x y z (fractional)
Sr  0.6559  0.0000  0.4309  0.06
Sr  0.3441  0.0000  0.5691  0.06
Sr  0.6559  0.5000  0.9309  0.06
Sr  0.3441  0.5000  0.0691  0.06
Sc  0.9442  0.0000  0.8446  0.39
Sc  0.0558  0.0000  0.1554  0.39
Sc  0.9442  0.5000  0.3446  0.39
Sc  0.0558  0.5000  0.6554  0.39
Sb  0.7221  0.0000  0.1760  -0.02
Sb  0.2779  0.0000  0.8240  -0.02
Sb  0.7221  0.5000  0.6760  -0.02
Sb  0.2779  0.5000  0.3240  -0.02

Values from the calculation:
raw formation energy	-0.649	eV per atom
E	-4.694	eV per atom
symmetry	C2/m
D(E_F)	0.96	states/eV per atom

=====

11.
Material: SrScSb
Method: DFT, GGA-PBE
State: relaxed

a = 5.3318 Å, b = 5.3318 Å, c = 5.3318 Å
α = 60.00°, β = 60.00°, γ = 60.00°
Each line ends with the local moment (μB).
Element x y z (fractional)
Sb  0.0000  0.0000  0.0000  -0.04
Sc  0.5000  0.5000  0.5000  0.90
Sr  0.7500  0.7500  0.7500  0.11

Values from the calculation:
raw formation energy	0.258	eV per atom
E	-3.787	eV per atom
symmetry	F-43m
D(E_F)	2.05	states/eV per atom

=====

12.
Material: SrSc3Sb
Method: DFT, GGA-PBE
State: relaxed

a = 5.5312 Å, b = 5.5312 Å, c = 5.5312 Å
α = 90.00°, β = 90.00°, γ = 90.00°
Each line ends with the local moment (μB).
Element x y z (fractional)
Sc  0.0000  0.5000  0.0000  0.32
Sc  0.0000  0.0000  0.5000  0.52
Sc  0.5000  0.0000  0.0000  0.21
Sb  0.0000  0.0000  0.0000  -0.01
Sr  0.5000  0.5000  0.5000  0.04

Values from the calculation:
raw formation energy	0.066	eV per atom
E	-4.894	eV per atom
symmetry	Pm-3m
D(E_F)	1.64	states/eV per atom

=====

13.
Material: SrSc2Sb
Method: DFT, GGA-PBE
State: relaxed

a = 9.9844 Å, b = 9.9844 Å, c = 9.9844 Å
α = 23.05°, β = 23.05°, γ = 23.05°
Element x y z (fractional)
Sb  0.7500  0.7500  0.7500
Sc  0.0253  0.0253  0.0253
Sc  0.4747  0.4747  0.4747
Sr  0.2500  0.2500  0.2500

Values from the calculation:
raw formation energy	-0.181	eV per atom
E	-4.798	eV per atom
symmetry	R-3m
D(E_F)	1.37	states/eV per atom

=====

14.
Material: SrScSb
Method: DFT, GGA-PBE
State: relaxed

a = 4.3875 Å, b = 12.7691 Å, c = 6.6078 Å
α = 90.00°, β = 90.00°, γ = 90.00°
Element x y z (fractional)
Sr  0.0000  0.1987  0.2500
Sr  0.0000  0.8013  0.7500
Sr  0.5000  0.6987  0.2500
Sr  0.5000  0.3013  0.7500
Sc  0.0000  0.5000  0.0000
Sc  0.0000  0.5000  0.5000
Sc  0.5000  0.0000  0.0000
Sc  0.5000  0.0000  0.5000
Sb  0.0000  0.9048  0.2500
Sb  0.0000  0.0952  0.7500
Sb  0.5000  0.4048  0.2500
Sb  0.5000  0.5952  0.7500

Values from the calculation:
raw formation energy	-0.751	eV per atom
E	-4.796	eV per atom
symmetry	Cmcm
D(E_F)	0.58	states/eV per atom

=====

15.
Material: SrScSb
Method: DFT, GGA-PBE
State: relaxed

a = 4.9290 Å, b = 4.9290 Å, c = 4.6468 Å
α = 90.00°, β = 90.00°, γ = 120.00°
Element x y z (fractional)
Sb  0.0000  0.0000  0.1663
Sc  0.6667  0.3333  0.1669
Sr  0.3333  0.6667  0.6667

Values from the calculation:
raw formation energy	-0.535	eV per atom
E	-4.581	eV per atom
symmetry	P-6m2
D(E_F)	0.84	states/eV per atom

=====

16.
Material: SrSc2Sb
Method: DFT, GGA-PBE
State: relaxed

a = 3.9038 Å, b = 3.9034 Å, c = 8.6004 Å
α = 63.02°, β = 90.00°, γ = 90.00°
Each line ends with the local moment (μB).
Element x y z (fractional)
Sb  0.5000  0.6927  0.8074  -0.01
Sc  0.0000  0.0205  0.9794  0.25
Sc  0.5000  0.3087  0.1910  0.25
Sr  0.0000  0.4781  0.5222  0.02

Values from the calculation:
raw formation energy	-0.378	eV per atom
E	-4.994	eV per atom
symmetry	P4mm
D(E_F)	1.13	states/eV per atom

=====

17.
Material: SrScSb
Method: DFT, GGA-PBE
State: relaxed

a = 6.7195 Å, b = 4.3387 Å, c = 7.0250 Å
α = 90.00°, β = 103.53°, γ = 90.00°
Element x y z (fractional)
Sr  0.0546  0.0000  0.8478
Sr  0.5910  0.5000  0.9952
Sc  0.4398  0.0000  0.4262
Sc  0.9332  0.0000  0.3496
Sb  0.7402  0.5000  0.5378
Sb  0.1636  0.5000  0.2105

Values from the calculation:
raw formation energy	-0.617	eV per atom
E	-4.663	eV per atom
symmetry	Pm
D(E_F)	0.70	states/eV per atom

=====

18.
Material: SrScSb
Method: DFT, GGA-PBE
State: relaxed

a = 4.5991 Å, b = 4.5991 Å, c = 8.6213 Å
α = 90.00°, β = 90.00°, γ = 90.00°
Each line ends with the local moment (μB).
Element x y z (fractional)
Sr  0.0000  0.5000  0.8466  0.04
Sr  0.5000  0.0000  0.1534  0.04
Sc  0.0000  0.0000  0.5000  0.42
Sc  0.5000  0.5000  0.5000  0.42
Sb  0.0000  0.5000  0.2657  -0.01
Sb  0.5000  0.0000  0.7343  -0.01

Values from the calculation:
raw formation energy	-0.785	eV per atom
E	-4.831	eV per atom
symmetry	P4/nmm
D(E_F)	1.22	states/eV per atom

=====

19.
Material: SrSc2Sb
Method: DFT, GGA-PBE
State: relaxed

a = 5.3641 Å, b = 5.3641 Å, c = 5.3641 Å
α = 60.00°, β = 60.00°, γ = 60.00°
Each line ends with the local moment (μB).
Element x y z (fractional)
Sb  0.5000  0.5000  0.5000  -0.03
Sc  0.0000  0.0000  0.0000  0.72
Sc  0.2500  0.2500  0.2500  0.51
Sr  0.7500  0.7500  0.7500  0.07

Values from the calculation:
raw formation energy	-0.079	eV per atom
E	-4.696	eV per atom
symmetry	F-43m
D(E_F)	1.66	states/eV per atom

=====

20.
Material: Sr2ScSb2
Method: DFT, GGA-PBE
State: relaxed

a = 8.2517 Å, b = 8.2517 Å, c = 4.7187 Å
α = 90.00°, β = 90.00°, γ = 90.00°
Each line ends with the local moment (μB).
Element x y z (fractional)
Sc  0.0000  0.0000  0.0000  0.32
Sc  0.5000  0.5000  0.0000  0.32
Sb  0.3366  0.8366  0.0000  0.00
Sb  0.8366  0.6634  0.0000  0.00
Sb  0.6634  0.1634  0.0000  0.00
Sb  0.1634  0.3366  0.0000  0.00
Sr  0.1483  0.6483  0.5000  0.03
Sr  0.6483  0.8517  0.5000  0.03
Sr  0.8517  0.3517  0.5000  0.03
Sr  0.3517  0.1483  0.5000  0.03

Values from the calculation:
raw formation energy	-0.816	eV per atom
E	-4.404	eV per atom
symmetry	P4/mbm
D(E_F)	0.14	states/eV per atom

=====

21.
Material: SrSc2Sb
Method: DFT, GGA-PBE
State: relaxed

a = 6.5097 Å, b = 6.5097 Å, c = 3.3867 Å
α = 75.81°, β = 75.81°, γ = 118.15°
Element x y z (fractional)
Sb  0.0000  0.5000  0.5000
Sc  0.0000  0.0000  0.0000
Sc  0.5000  0.5000  0.0000
Sr  0.5000  0.0000  0.5000

Values from the calculation:
raw formation energy	-0.146	eV per atom
E	-4.763	eV per atom
symmetry	C2/m
D(E_F)	0.95	states/eV per atom

=====

22.
Material: SrSc2Sb
Method: DFT, GGA-PBE
State: relaxed

a = 6.3565 Å, b = 6.3565 Å, c = 6.3565 Å
α = 141.81°, β = 134.80°, γ = 60.62°
Element x y z (fractional)
Sb  0.2325  0.7325  0.5000
Sc  0.0379  0.0379  0.0000
Sc  0.7525  0.2525  0.5000
Sr  0.4771  0.4771  0.0000

Values from the calculation:
raw formation energy	-0.262	eV per atom
E	-4.879	eV per atom
symmetry	Imm2
D(E_F)	1.03	states/eV per atom

=====

23.
Material: SrScSb2Te
Method: DFT, GGA-PBE
State: relaxed

a = 5.5059 Å, b = 5.5059 Å, c = 5.6365 Å
α = 90.00°, β = 90.00°, γ = 90.00°
Element x y z (fractional)
Sc  0.0000  0.0000  0.0000
Sb  0.0000  0.5000  0.0000
Sb  0.5000  0.0000  0.0000
Te  0.0000  0.0000  0.5000
Sr  0.5000  0.5000  0.5000

Values from the calculation:
raw formation energy	-0.572	eV per atom
E	-4.452	eV per atom
symmetry	P4/mmm
D(E_F)	0.61	states/eV per atom

=====

24.
Material: SrScSb2Te
Method: DFT, GGA-PBE
State: relaxed

a = 5.8438 Å, b = 5.8438 Å, c = 5.9110 Å
α = 90.00°, β = 90.00°, γ = 90.00°
Element x y z (fractional)
Sc  0.5000  0.5000  0.5000
Sb  0.0000  0.5000  0.0000
Sb  0.5000  0.0000  0.0000
Te  0.0000  0.0000  0.5000
Sr  0.0000  0.0000  0.0000

Values from the calculation:
raw formation energy	0.571	eV per atom
E	-3.309	eV per atom
symmetry	P4/mmm
D(E_F)	1.23	states/eV per atom

=====

25.
Material: Sr3Th2ScSb6
Method: DFT, GGA-PBE
State: relaxed

a = 7.8594 Å, b = 7.8594 Å, c = 8.1064 Å
α = 99.34°, β = 99.34°, γ = 120.10°
Element x y z (fractional)
Sr  0.1712  0.8288  0.5000
Sr  0.8288  0.1712  0.5000
Sr  0.5000  0.5000  0.5000
Th  0.3343  0.6657  0.0000
Th  0.6657  0.3343  0.0000
Sc  0.0000  0.0000  0.0000
Sb  0.9259  0.6049  0.7763
Sb  0.7556  0.7556  0.2272
Sb  0.0741  0.3951  0.2237
Sb  0.6049  0.9259  0.7763
Sb  0.2444  0.2444  0.7728
Sb  0.3951  0.0741  0.2237

Values from the calculation:
raw formation energy	-0.948	eV per atom
E	-5.194	eV per atom
symmetry	C2/m
D(E_F)	0.57	states/eV per atom

=====

26.
Material: ScTaSb2
Method: DFT, GGA-PBE
State: relaxed

a = 3.0855 Å, b = 3.0855 Å, c = 10.7314 Å
α = 90.00°, β = 90.00°, γ = 101.34°
Element x y z (fractional)
Sb  0.0000  0.0000  0.9374
Sb  0.5000  0.5000  0.3037
Sc  0.0000  0.0000  0.5244
Ta  0.5000  0.5000  0.7345

Values from the calculation:
raw formation energy	-0.115	eV per atom
E	-6.722	eV per atom
symmetry	Cmm2
D(E_F)	0.22	states/eV per atom

=====

27.
Material: ScTaSb4
Method: DFT, GGA-PBE
State: relaxed

a = 6.0338 Å, b = 6.0338 Å, c = 6.0338 Å
α = 60.00°, β = 60.00°, γ = 60.00°
Element x y z (fractional)
Sc  0.7500  0.7500  0.7500
Ta  0.0000  0.0000  0.0000
Sb  0.8765  0.3745  0.3745
Sb  0.3745  0.3745  0.8765
Sb  0.3745  0.8765  0.3745
Sb  0.3745  0.3745  0.3745

Values from the calculation:
raw formation energy	0.691	eV per atom
E	-5.088	eV per atom
symmetry	F-43m
D(E_F)	1.36	states/eV per atom

=====

28.
Material: Sc4TaSb
Method: DFT, GGA-PBE
State: relaxed

a = 5.7441 Å, b = 5.7441 Å, c = 5.7441 Å
α = 60.00°, β = 60.00°, γ = 60.00°
Element x y z (fractional)
Sc  0.8693  0.3769  0.3769
Sc  0.3769  0.3769  0.8693
Sc  0.3769  0.8693  0.3769
Sc  0.3769  0.3769  0.3769
Ta  0.7500  0.7500  0.7500
Sb  0.0000  0.0000  0.0000

Values from the calculation:
raw formation energy	0.296	eV per atom
E	-6.588	eV per atom
symmetry	F-43m
D(E_F)	1.10	states/eV per atom